[1]
A plane-wave DFT calculation with PBE-GGA was carried out for a relaxed structure of CuPRu2.

Structure (POSCAR):
```
CuPRu2
1.0
-6.1320 5.4287 0.3780
-7.2716 3.5504 -1.3166
-7.4096 3.2031 1.4327
P Ru Cu
1 2 1
Cartesian
-15.5622 9.1087 0.3695
-0.1622 0.0949 0.0039
-5.2149 3.0523 0.1238
-10.2805 6.0173 0.2441
```

## Properties
The calculation puts the uncorrected energy at -27.71 eV per cell. The calculation puts the density of states at the Fermi level at 2.76 states/eV/f.u. Its energy of formation from the pure elements is 0.0878 eV/atom.

---

[2]
A plane-wave DFT calculation with PBE-GGA was carried out for a relaxed structure of CaSmPd6.

Structure (POSCAR):
```
CaSmPd6
1.0
5.3073 0.0000 0.0000
0.0000 5.3073 0.0000
0.0000 0.0000 5.3073
Pd Ca Sm
6 1 1
Cartesian
3.9769 0.0000 2.6537
1.3304 0.0000 2.6537
2.6537 3.9769 0.0000
0.0000 2.6537 3.9769
0.0000 2.6537 1.3304
2.6537 1.3304 0.0000
2.6537 2.6537 2.6537
0.0000 0.0000 0.0000
```

## Properties
The energy above the lowest structure with this stoichiometry comes out at 0.174 eV per atom. The calculation puts the uncorrected energy at -41.52 eV per cell. The calculation puts the density of states at the Fermi level at 4.37 states/eV/f.u. Its energy of formation from the pure elements is -0.4558 eV/atom.

---

[3]
A plane-wave DFT calculation with PBE-GGA was carried out for a relaxed structure of TaAlN3.

Structure (POSCAR):
```
TaAlN3
1.0
3.6394 0.0000 0.0000
0.0000 3.6394 0.0000
0.0000 0.0000 3.6394
Ta N Al
1 3 1
Cartesian
1.8197 1.8197 1.8197
0.0000 0.0000 1.8197
1.8197 0.0000 0.0000
0.0000 1.8197 0.0000
0.0000 0.0000 0.0000
```

## Properties
The calculation puts the uncorrected energy at -38.66 eV per cell. The calculation puts the density of states at the Fermi level at 3.90 states/eV/f.u.